(1)
Here is a geometry-optimized CsTmN structure from OQMD via LeMat-Bulk. Energies are from PBE.

```
CsTmN
1.0
4.8613 0.0000 0.0000
0.0000 4.8613 0.0000
0.0000 0.0000 7.0326
Cs Tm N
2 2 2
direct
0.2500 0.7500 0.0000
0.7500 0.2500 0.0000
0.2500 0.2500 0.4485
0.7500 0.7500 0.5515
0.2500 0.2500 0.7285
0.7500 0.7500 0.2715
```

Calculated values
Its symmetry is P4/nmm.

***

(2)
Here is a geometry-optimized GdSiB4 structure from OQMD via LeMat-Bulk. Energies are from PBE.

```
GdSiB4
1.0
-1.5909 2.5397 4.0683
1.5909 -2.5397 4.0683
1.5909 2.5397 -4.0683
Gd Si B
1 1 4
direct
0.0000 0.0000 0.0000
0.5000 0.5000 0.0000
0.0589 0.7361 0.3228
0.4133 0.7361 0.6772
0.5867 0.2639 0.3228
0.9411 0.2639 0.6772
```

Calculated values
Its symmetry is Immm.

***

(3)
Here is a geometry-optimized LuCoSiOs structure from OQMD via LeMat-Bulk. Energies are from PBE.

```
LuCoSiOs
1.0
0.0000 3.1602 3.1602
3.1602 0.0000 3.1602
3.1602 3.1602 0.0000
Lu Co Si Os
1 1 1 1
direct
0.0000 0.0000 0.0000
0.5000 0.5000 0.5000
0.2500 0.2500 0.2500
0.7500 0.7500 0.7500
```

Calculated values
Its symmetry is F-43m.

***

(4)
Here is a geometry-optimized PtO structure from OQMD via LeMat-Bulk. Energies are from PBE.

```
PtO
1.0
3.1104 0.0000 0.0000
0.0000 3.1104 0.0000
0.0000 0.0000 5.3980
Pt O
2 2
direct
0.0000 0.5000 0.0000
0.5000 0.0000 0.5000
0.0000 0.0000 0.2500
0.0000 0.0000 0.7500
```

Calculated values
Its symmetry is P4_2/mmc.

***

(5)
Here is a geometry-optimized LaIn6Ag6 structure from OQMD via LeMat-Bulk. Energies are from PBE.

```
LaIn6Ag6
1.0
-2.9165 4.8866 4.9480
2.9165 -4.8866 4.9480
2.9165 4.8866 -4.9480
La In Ag
1 6 6
direct
0.0000 0.0000 0.0000
0.1916 0.6916 0.5000
0.3457 0.0000 0.3457
0.3465 0.3465 0.0000
0.6543 0.0000 0.6543
0.6535 0.6535 0.0000
0.8084 0.3084 0.5000
0.0000 0.0000 0.5000
0.0000 0.5000 0.0000
0.2300 0.5000 0.7300
0.5000 0.0000 0.0000
0.5000 0.5000 0.5000
0.7700 0.5000 0.2700
```

Calculated values
Its symmetry is Immm.

***

(6)
Here is a geometry-optimized GdTlCdTe3 structure from OQMD via LeMat-Bulk. Energies are from PBE.

```
GdTlCdTe3
1.0
9.6133 -2.2293 0.0000
9.6133 2.2293 0.0000
-2.3402 0.0000 9.5700
Gd Tl Cd Te
2 2 2 6
direct
0.1752 0.1752 0.0888
0.8248 0.8248 0.9112
0.1371 0.1371 0.5699
0.8629 0.8629 0.4301
0.4823 0.4823 0.7832
0.5177 0.5177 0.2168
0.0000 0.0000 0.0000
0.3272 0.3272 0.6947
0.3383 0.3383 0.1377
0.5000 0.5000 0.5000
0.6617 0.6617 0.8623
0.6728 0.6728 0.3053
```

Calculated values
Its symmetry is C2/m.

***

| no. | total DFT energy (no corrections) (eV per cell) |
| --- | --- |
| 1 | -25.837 |
| 2 | -37.059 |
| 3 | -27.305 |
| 4 | -22.953 |
| 5 | -40.952 |
| 6 | -43.721 |